Record 1
# Li5Eu3H12 | Alexandria | PBE-GGA | optimized geometry
# * E_tot: -88.53 eV per formula unit
data_Li5Eu3H12
_space_group_name_H-M_alt 'I a -3 d'
_space_group_IT_number 230
_space_group_name_Hall '-I 4bd 2c 3'
_cell_length_a 12.370
_cell_length_b 12.370
_cell_length_c 12.370
_cell_angle_alpha 90.00
_cell_angle_beta 90.00
_cell_angle_gamma 90.00
loop_
_atom_site_label
_atom_site_type_symbol
_atom_site_fract_x
_atom_site_fract_y
_atom_site_fract_z
_atom_site_occupancy
Li1 Li 0.000 0.000 0.000 1
Li2 Li 0.000 0.250 0.375 1
Eu1 Eu 0.000 0.250 0.125 1
H1 H 0.027 0.059 0.652 1

Record 2
# LiEuH | Alexandria | PBE-GGA | optimized geometry
# * energy above the most stable polymorph in this dataset: 0.179 eV per atom
data_LiEuH
_space_group_name_H-M_alt 'P 3 m 1'
_space_group_IT_number 156
_cell_length_a 3.5222
_cell_length_b 3.5222
_cell_length_c 5.7977
_cell_angle_alpha 90.00
_cell_angle_beta 90.00
_cell_angle_gamma 120.00
loop_
_space_group_symop_operation_xyz
'x,y,z'
'-y,x-y,z'
'-x+y,-x,z'
'-y,-x,z'
'-x+y,y,z'
'x,x-y,z'
loop_
_atom_site_label
_atom_site_type_symbol
_atom_site_fract_x
_atom_site_fract_y
_atom_site_fract_z
_atom_site_occupancy
Li1 Li 0.0000 0.0000 0.0000 1
Eu1 Eu 0.3333 0.6667 0.4774 1
H1 H 0.6667 0.3333 0.2422 1

Record 3
# Eu3LuH | Alexandria | PBE-GGA | optimized geometry
# * E_tot: -39.19 eV per formula unit
data_Eu3LuH
_space_group_name_H-M_alt 'P m -3 m'
_space_group_IT_number 221
_space_group_name_Hall '-P 4 2 3'
_cell_length_a 5.244
_cell_length_b 5.244
_cell_length_c 5.244
_cell_angle_alpha 90.00
_cell_angle_beta 90.00
_cell_angle_gamma 90.00
loop_
_atom_site_label
_atom_site_type_symbol
_atom_site_fract_x
_atom_site_fract_y
_atom_site_fract_z
_atom_site_occupancy
Eu1 Eu 0.000 0.000 0.500 1
Lu1 Lu 0.500 0.500 0.500 1
H1 H 0.000 0.000 0.000 1

Record 4
# Eu2LuH | Alexandria | PBE-GGA | optimized geometry
# * E_tot: -28.28 eV per formula unit
data_Eu2LuH
_space_group_name_H-M_alt 'R -3 m'
_space_group_IT_number 166
_space_group_name_Hall '-R 3 2"'
_cell_length_a 3.5731
_cell_length_b 3.5731
_cell_length_c 29.1726
_cell_angle_alpha 90.00
_cell_angle_beta 90.00
_cell_angle_gamma 120.00
loop_
_atom_site_label
_atom_site_type_symbol
_atom_site_fract_x
_atom_site_fract_y
_atom_site_fract_z
_atom_site_occupancy
Eu1 Eu 0.0000 0.0000 0.1157 1
Lu1 Lu 0.0000 0.0000 0.0000 1
H1 H 0.0000 0.0000 0.5000 1

Record 5
# EuLu3H | Alexandria | PBE-GGA | optimized geometry
# * E_tot: -27.55 eV per formula unit
data_EuLu3H
_space_group_name_H-M_alt 'P m -3 m'
_space_group_IT_number 221
_space_group_name_Hall '-P 4 2 3'
_cell_length_a 4.951
_cell_length_b 4.951
_cell_length_c 4.951
_cell_angle_alpha 90.00
_cell_angle_beta 90.00
_cell_angle_gamma 90.00
loop_
_atom_site_label
_atom_site_type_symbol
_atom_site_fract_x
_atom_site_fract_y
_atom_site_fract_z
_atom_site_occupancy
Eu1 Eu 0.000 0.000 0.000 1
Lu1 Lu 0.000 0.500 0.500 1
H1 H 0.500 0.500 0.500 1

Record 6
# EuMgH | Alexandria | PBE-GGA | optimized geometry
# * E_tot: -15.38 eV per formula unit
data_EuMgH
_space_group_name_H-M_alt 'I 4 m m'
_space_group_IT_number 107
_space_group_name_Hall 'I 4 -2'
_cell_length_a 3.403
_cell_length_b 3.403
_cell_length_c 12.018
_cell_angle_alpha 90.00
_cell_angle_beta 90.00
_cell_angle_gamma 90.00
loop_
_atom_site_label
_atom_site_type_symbol
_atom_site_fract_x
_atom_site_fract_y
_atom_site_fract_z
_atom_site_occupancy
Eu1 Eu 0.000 0.000 0.000 1
Mg1 Mg 0.000 0.000 0.288 1
H1 H 0.000 0.000 0.493 1

Record 7
# EuMg2H6 | Alexandria | PBE-GGA | optimized geometry
# * energy above the most stable polymorph in this dataset: 0.000 eV per atom
data_EuMg2H6
_space_group_name_H-M_alt 'P 4/m m m'
_space_group_IT_number 123
_space_group_name_Hall '-P 4 2'
_cell_length_a 3.712
_cell_length_b 3.712
_cell_length_c 7.958
_cell_angle_alpha 90.00
_cell_angle_beta 90.00
_cell_angle_gamma 90.00
loop_
_atom_site_label
_atom_site_type_symbol
_atom_site_fract_x
_atom_site_fract_y
_atom_site_fract_z
_atom_site_occupancy
Eu1 Eu 0.000 0.000 0.000 1
Mg1 Mg 0.500 0.500 0.274 1
H1 H 0.000 0.500 0.206 1
H2 H 0.500 0.500 0.000 1
H3 H 0.500 0.500 0.500 1

Record 8
# Eu2MgH6 | Alexandria | PBE-GGA | optimized geometry
# * E_tot: -46.44 eV per formula unit
data_Eu2MgH6
_space_group_name_H-M_alt 'P -3 m 1'
_space_group_IT_number 164
_space_group_name_Hall '-P 3 2"'
_cell_length_a 5.3532
_cell_length_b 5.3532
_cell_length_c 4.0443
_cell_angle_alpha 90.00
_cell_angle_beta 90.00
_cell_angle_gamma 120.00
loop_
_atom_site_label
_atom_site_type_symbol
_atom_site_fract_x
_atom_site_fract_y
_atom_site_fract_z
_atom_site_occupancy
Eu1 Eu 0.3333 0.6667 0.2603 1
Mg1 Mg 0.0000 0.0000 0.0000 1
H1 H 0.1813 0.3626 0.7604 1